{
  "formula": "CoSiPdO2",
  "functional": "PBE+U",
  "state": "relaxed",
  "lattice_angstrom": [[3.8051, 0.0000, 0.0000], [0.0000, 3.8051, 0.0000], [0.0000, 0.0000, 5.2742]],
  "species": ["Co", "Si", "Pd", "O", "O"],
  "fractional_positions": [[0.0000, 0.0000, 0.0000], [0.5000, 0.5000, 0.0000], [0.5000, 0.5000, 0.5000], [0.0000, 0.5000, 0.5000], [0.5000, 0.0000, 0.5000]],
  "n_ef_per_ev_cell": 6.91,
  "sg": "No. 123",
  "vol_a3_per_cell": 76.36,
  "e_tot_ev_per_atom": -4.62,
  "rho_g_cm3": 4.90
}